Entry 1:
First-principles (PBEsol) data for TePb2Se after structural relaxation, as listed in the Alexandria database.

Calculated values
- Crystal system: trigonal
- Final energy: -4.288 eV per atom
- Formation energy from raw total energies: -0.444 eV/atom
- Relative energy among the computed polymorphs: 0.00 eV/f.u.

a = 4.4245 Å, b = 4.4245 Å, c = 21.6807 Å
α = 90.00°, β = 90.00°, γ = 120.00°
Space group R-3m (No. 166, hexagonal axes)
Asymmetric unit:
Te (0.0000, 0.0000, 0.0000) x3
Pb (0.0000, 0.0000, 0.2445) x6
Se (0.0000, 0.0000, 0.5000) x3

Entry 2:
First-principles (PBEsol) data for ZnRu3Pb after structural relaxation, as listed in the Alexandria database.

Calculated values
- Energy of formation: 1.43 eV per atom
- Crystal system: cubic
- Final energy: -5.787 eV per atom

a = 4.475 Å, b = 4.475 Å, c = 4.475 Å
α = 90.00°, β = 90.00°, γ = 90.00°
Space group Pm-3m (No. 221)
Asymmetric unit:
Zn (0.000, 0.000, 0.000) x1
Ru (0.000, 0.000, 0.500) x3
Pb (0.500, 0.500, 0.500) x1

Entry 3:
First-principles (PBEsol) data for TlPdSe2Br after structural relaxation, as listed in the Alexandria database.

Calculated values
- Crystal system: tetragonal
- Final energy: -3.669 eV per atom
- Formation energy from raw total energies: -0.037 eV/atom

a = 4.905 Å, b = 4.905 Å, c = 5.239 Å
α = 90.00°, β = 90.00°, γ = 90.00°
Space group P4/mmm (No. 123)
Asymmetric unit:
Tl (0.000, 0.000, 0.000) x1
Pd (0.500, 0.500, 0.500) x1
Se (0.000, 0.500, 0.500) x2
Br (0.500, 0.500, 0.000) x1

Entry 4:
First-principles (PBEsol) data for Mn4Co5 after structural relaxation, as listed in the Alexandria database.

Calculated values
- Energy of formation: 0.06 eV per atom
- Crystal system: tetragonal
- Final energy: -8.581 eV per atom

a = 7.255 Å, b = 7.255 Å, c = 3.421 Å
α = 90.00°, β = 90.00°, γ = 90.00°
Space group I4/mmm (No. 139)
Asymmetric unit:
Mn (0.000, 0.335, 0.000) x8
Co (0.000, 0.000, 0.000) x2
Co (0.168, 0.168, 0.500) x8

Entry 5:
First-principles (PBEsol) data for Mg2HgPtF after structural relaxation, as listed in the Alexandria database.

Calculated values
- Crystal system: tetragonal
- Final energy: -3.305 eV per atom
- Formation energy from raw total energies: -0.727 eV/atom

a = 4.027 Å, b = 4.027 Å, c = 5.093 Å
α = 90.00°, β = 90.00°, γ = 90.00°
Space group P4/mmm (No. 123)
Asymmetric unit:
Mg (0.000, 0.500, 0.000) x2
Hg (0.000, 0.000, 0.500) x1
Pt (0.500, 0.500, 0.500) x1
F (0.500, 0.500, 0.000) x1

Entry 6:
First-principles (PBEsol) data for MgTiCu2H after structural relaxation, as listed in the Alexandria database.

Calculated values
- Crystal system: tetragonal
- Final energy: -2.727 eV per atom

a = 4.567 Å, b = 4.567 Å, c = 5.560 Å
α = 90.00°, β = 90.00°, γ = 90.00°
Space group P4/mmm (No. 123)
Asymmetric unit:
Mg (0.000, 0.000, 0.000) x1
Ti (0.000, 0.000, 0.500) x1
Cu (0.000, 0.500, 0.500) x2
H (0.500, 0.500, 0.000) x1

Entry 7:
First-principles (PBEsol) data for Al2PPt after structural relaxation, as listed in the Alexandria database.

Calculated values
- Energy of formation: -0.36 eV per atom
- Crystal system: monoclinic
- Final energy: -5.598 eV per atom

a = 9.424 Å, b = 2.863 Å, c = 4.527 Å
α = 90.00°, β = 104.20°, γ = 90.00°
Space group Cm (No. 8)
Asymmetric unit:
Al (0.000, 0.000, 0.000) x2
Al (0.213, 0.000, 0.634) x2
P (0.258, 0.500, 0.139) x2
Pt (0.472, 0.000, 0.506) x2

Entry 8:
First-principles (PBEsol) data for RbAlH4 after structural relaxation, as listed in the Alexandria database.

Calculated values
- Crystal system: orthorhombic
- Final energy: -3.224 eV per atom

a = 9.026 Å, b = 5.573 Å, c = 7.231 Å
α = 90.00°, β = 90.00°, γ = 90.00°
Space group Pnma (No. 62)
Asymmetric unit:
Rb (0.173, 0.250, 0.162) x4
Al (0.075, 0.250, 0.677) x4
H (0.082, 0.750, 0.437) x4
H (0.084, 0.015, 0.813) x8
H (0.220, 0.250, 0.543) x4

Entry 9:
First-principles (PBEsol) data for BaZnHg2 after structural relaxation, as listed in the Alexandria database.

Calculated values
- Energy of formation: -0.27 eV per atom
- Crystal system: orthorhombic
- Final energy: -1.487 eV per atom

a = 4.607 Å, b = 5.585 Å, c = 8.381 Å
α = 90.00°, β = 90.00°, γ = 90.00°
Space group Imm2 (No. 44)
Asymmetric unit:
Ba (0.000, 0.000, 0.000) x2
Zn (0.000, 0.500, 0.786) x2
Hg (0.000, 0.000, 0.460) x2
Hg (0.000, 0.500, 0.215) x2

Entry 10:
First-principles (PBEsol) data for AlFePt2 after structural relaxation, as listed in the Alexandria database.

Calculated values
- Energy of formation: -0.57 eV per atom
- Crystal system: orthorhombic
- Final energy: -7.318 eV per atom

a = 5.535 Å, b = 7.194 Å, c = 2.764 Å
α = 90.00°, β = 90.00°, γ = 90.00°
Space group Cmmm (No. 65)
Asymmetric unit:
Al (0.000, 0.000, 0.000) x2
Fe (0.000, 0.500, 0.000) x2
Pt (0.250, 0.250, 0.500) x4

Entry 11:
First-principles (PBEsol) data for MoSeBr2 after structural relaxation, as listed in the Alexandria database.

Calculated values
- Crystal system: orthorhombic
- Final energy: -4.633 eV per atom
- Formation energy from raw total energies: 0.206 eV/atom
- Relative energy among the computed polymorphs: 0.00 eV/f.u.

a = 3.290 Å, b = 5.371 Å, c = 10.087 Å
α = 90.00°, β = 90.00°, γ = 90.00°
Space group Cmm2 (No. 35)
Asymmetric unit:
Mo (0.000, 0.000, 0.000) x2
Se (0.000, 0.500, 0.179) x2
Br (0.000, 0.000, 0.487) x2
Br (0.000, 0.500, 0.800) x2

Entry 12:
First-principles (PBEsol) data for MgMo2Os after structural relaxation, as listed in the Alexandria database.

Calculated values
- Energy of formation: 0.28 eV per atom
- Crystal system: trigonal
- Final energy: -9.087 eV per atom

a = 2.7824 Å, b = 2.7824 Å, c = 27.9165 Å
α = 90.00°, β = 90.00°, γ = 120.00°
Space group R3m (No. 160, hexagonal axes)
Asymmetric unit:
Mg (0.0000, 0.0000, 0.0000) x3
Mo (0.0000, 0.0000, 0.2435) x3
Mo (0.0000, 0.0000, 0.4918) x3
Os (0.0000, 0.0000, 0.7501) x3

Entry 13:
First-principles (PBEsol) data for ReNi2Os after structural relaxation, as listed in the Alexandria database.

Calculated values
- Energy of formation: 0.13 eV per atom
- Crystal system: trigonal
- Final energy: -9.336 eV per atom
- Relative energy among the computed polymorphs: 0.51 eV/f.u.

a = 2.6590 Å, b = 2.6590 Å, c = 24.9084 Å
α = 90.00°, β = 90.00°, γ = 120.00°
Space group R3m (No. 160, hexagonal axes)
Asymmetric unit:
Re (0.0000, 0.0000, 0.0000) x3
Ni (0.0000, 0.0000, 0.4954) x3
Ni (0.0000, 0.0000, 0.7507) x3
Os (0.0000, 0.0000, 0.2461) x3

Entry 14:
First-principles (PBEsol) data for Hf2H2Pb after structural relaxation, as listed in the Alexandria database.

Calculated values
- Crystal system: tetragonal
- Final energy: -6.615 eV per atom

a = 3.798 Å, b = 3.798 Å, c = 9.559 Å
α = 90.00°, β = 90.00°, γ = 90.00°
Space group I4/mmm (No. 139)
Asymmetric unit:
Hf (0.000, 0.000, 0.168) x4
H (0.000, 0.500, 0.250) x4
Pb (0.000, 0.000, 0.500) x2

Entry 15:
First-principles (PBEsol) data for Ge2CI after structural relaxation, as listed in the Alexandria database.

Calculated values
- Crystal system: cubic
- Final energy: -3.611 eV per atom
- Formation energy from raw total energies: 1.711 eV/atom

a = 6.684 Å, b = 6.684 Å, c = 6.684 Å
α = 90.00°, β = 90.00°, γ = 90.00°
Space group Fm-3m (No. 225)
Asymmetric unit:
Ge (0.250, 0.250, 0.250) x8
C (0.000, 0.000, 0.000) x4
I (0.000, 0.000, 0.500) x4

Entry 16:
First-principles (PBEsol) data for TcHgTe2I after structural relaxation, as listed in the Alexandria database.

Calculated values
- Crystal system: tetragonal
- Final energy: -3.749 eV per atom
- Formation energy from raw total energies: 0.382 eV/atom

a = 5.086 Å, b = 5.086 Å, c = 5.695 Å
α = 90.00°, β = 90.00°, γ = 90.00°
Space group P4/mmm (No. 123)
Asymmetric unit:
Tc (0.000, 0.000, 0.000) x1
Hg (0.500, 0.500, 0.500) x1
Te (0.000, 0.500, 0.000) x2
I (0.000, 0.000, 0.500) x1

Entry 17:
First-principles (PBEsol) data for Zn2Pd2Au after structural relaxation, as listed in the Alexandria database.

Calculated values
- Energy of formation: -0.36 eV per atom
- Crystal system: tetragonal
- Final energy: -4.160 eV per atom

a = 7.260 Å, b = 7.260 Å, c = 2.817 Å
α = 90.00°, β = 90.00°, γ = 90.00°
Space group P4/mbm (No. 127)
Asymmetric unit:
Zn (0.162, 0.338, 0.000) x4
Pd (0.136, 0.636, 0.500) x4
Au (0.000, 0.000, 0.500) x2

Entry 18:
First-principles (PBEsol) data for Ba3GaSb3 after structural relaxation, as listed in the Alexandria database.

Calculated values
- Crystal system: orthorhombic
- Final energy: -4.252 eV per atom
- Formation energy from raw total energies: -0.900 eV/atom

a = 14.054 Å, b = 21.050 Å, c = 7.117 Å
α = 90.00°, β = 90.00°, γ = 90.00°
Space group Pnma (No. 62)
Asymmetric unit:
Ba (0.009, 0.077, 0.230) x8
Ba (0.016, 0.250, 0.824) x4
Ba (0.235, 0.250, 0.300) x4
Ba (0.238, 0.077, 0.696) x8
Ga (0.127, 0.663, 0.485) x8
Sb (0.012, 0.589, 0.269) x8
Sb (0.018, 0.750, 0.681) x4
Sb (0.233, 0.750, 0.290) x4
Sb (0.242, 0.589, 0.699) x8

Entry 19:
First-principles (PBEsol) data for MgS2N2 after structural relaxation, as listed in the Alexandria database.

Calculated values
- Crystal system: tetragonal
- Final energy: -4.810 eV per atom
- Formation energy from raw total energies: 0.698 eV/atom
- Relative energy among the computed polymorphs: 0.00 eV/f.u.

a = 3.396 Å, b = 3.396 Å, c = 6.246 Å
α = 90.00°, β = 90.00°, γ = 90.00°
Space group P4/mmm (No. 123)
Asymmetric unit:
Mg (0.000, 0.000, 0.000) x1
S (0.500, 0.500, 0.000) x1
S (0.500, 0.500, 0.500) x1
N (0.000, 0.500, 0.500) x2

Entry 20:
First-principles (PBEsol) data for CdHg after structural relaxation, as listed in the Alexandria database.

Calculated values
- Energy of formation: 0.05 eV per atom
- Crystal system: cubic
- Final energy: -0.834 eV per atom

a = 7.105 Å, b = 7.105 Å, c = 7.105 Å
α = 90.00°, β = 90.00°, γ = 90.00°
Space group Fd-3m (No. 227, origin choice 2)
Asymmetric unit:
Cd (0.125, 0.125, 0.125) x8
Hg (0.125, 0.125, 0.625) x8

Entry 21:
First-principles (PBEsol) data for BaCuIr2 after structural relaxation, as listed in the Alexandria database.

Calculated values
- Energy of formation: 0.53 eV per atom
- Crystal system: monoclinic
- Final energy: -6.005 eV per atom
- Relative energy among the computed polymorphs: 2.38 eV/f.u.

a = 2.913 Å, b = 4.354 Å, c = 6.211 Å
α = 90.00°, β = 101.32°, γ = 90.00°
Space group P2/m (No. 10)
Asymmetric unit:
Ba (0.000, 0.000, 0.000) x1
Cu (0.500, 0.000, 0.500) x1
Ir (0.315, 0.500, 0.673) x2

Entry 22:
First-principles (PBEsol) data for AgTe2Cl after structural relaxation, as listed in the Alexandria database.

Calculated values
- Crystal system: monoclinic
- Final energy: -3.251 eV per atom
- Formation energy from raw total energies: -0.158 eV/atom

a = 4.661 Å, b = 4.140 Å, c = 5.867 Å
α = 90.00°, β = 112.04°, γ = 90.00°
Space group P2/m (No. 10)
Asymmetric unit:
Ag (0.000, 0.000, 0.000) x1
Te (0.215, 0.500, 0.812) x2
Cl (0.500, 0.000, 0.500) x1

Entry 23:
First-principles (PBEsol) data for Zr3ScTc after structural relaxation, as listed in the Alexandria database.

Calculated values
- Energy of formation: 0.37 eV per atom
- Crystal system: cubic
- Final energy: -8.654 eV per atom

a = 4.964 Å, b = 4.964 Å, c = 4.964 Å
α = 90.00°, β = 90.00°, γ = 90.00°
Space group Pm-3m (No. 221)
Asymmetric unit:
Zr (0.000, 0.000, 0.500) x3
Sc (0.500, 0.500, 0.500) x1
Tc (0.000, 0.000, 0.000) x1